Here is a geometry-optimized Np2ReOs structure from Alexandria via LeMat-Bulk. Energies are from PBE.

Output
Energy ... -47.06 eV per cell
Magnetization ... 1.161 μB/atom

a b c (Å): 2.842 2.842 10.362
angles (deg): 82.12 82.12 60.00
Site moments in Bohr magnetons follow the coordinates.
Sites, in units of the cell vectors:
1 Os 0.500 0.500 0.500  -0.15
2 Np 0.913 0.913 0.261  2.48
3 Np 0.087 0.087 0.739  2.48
4 Re 0.000 0.000 0.000  -0.20

=====

Here is a geometry-optimized NpReOs2 structure from Alexandria via LeMat-Bulk. Energies are from PBE.

Output
Energy ... -47.00 eV per cell
Magnetization ... 0.632 μB/atom

a b c (Å): 2.759 2.759 9.875
angles (deg): 81.97 81.97 60.00
Site moments in Bohr magnetons follow the coordinates.
Sites, in units of the cell vectors:
1 Os 0.242 0.242 0.275  0.00
2 Os 0.758 0.758 0.725  0.00
3 Np 0.000 0.000 0.000  2.56
4 Re 0.500 0.500 0.500  -0.01